Material: PrHo2Te4
Method: DFT, GGA-PBE
State: relaxed

a = 4.3057 Å, b = 14.3456 Å, c = 14.9855 Å
α = 90.00°, β = 90.00°, γ = 90.00°
Space group Cmcm (No. 63)
One atom of each set of equivalent atoms:
Pr 0.0000 0.1247 0.2500
Ho 0.0000 0.3687 0.0676
Te 0.0000 0.0000 0.0000
Te 0.0000 0.2748 0.6193
Te 0.0000 0.4583 0.2500

Properties
Density   7.041 g cm⁻³
Formation energy from raw total energies   -1382.9 meV per atom

***

Material: Pr5HoTe4
Method: DFT, GGA-PBE
State: relaxed

a = 18.8832 Å, b = 4.3062 Å, c = 8.7449 Å
α = 90.00°, β = 101.76°, γ = 90.00°
Space group C2/m (No. 12)
One atom of each set of equivalent atoms:
Pr 0.0000 0.0000 0.0000
Pr 0.1677 0.5000 0.3065
Pr 0.1820 0.5000 0.8576
Ho 0.0000 0.0000 0.5000
Te 0.0067 0.5000 0.7437
Te 0.1632 0.0000 0.5743

Properties
Density   6.583 g cm⁻³
Formation energy from raw total energies   -1008.8 meV per atom

***

Material: Pr2HoTe
Method: DFT, GGA-PBE
State: relaxed

a = 4.0264 Å, b = 4.0264 Å, c = 7.9024 Å
α = 90.00°, β = 90.00°, γ = 90.00°
Space group P4/mmm (No. 123)
One atom of each set of equivalent atoms:
Pr 0.0000 0.0000 0.2262
Ho 0.5000 0.5000 0.5000
Te 0.5000 0.5000 0.0000

Properties
Density   7.444 g cm⁻³
Formation energy from raw total energies   -573.0 meV per atom